Compound: Tm8Cd3Co2
Source: Alexandria via LeMat-Bulk
Functional: PBE-GGA
Structure: optimized geometry

Structure (POSCAR):
```
Tm8Cd3Co2
1.0
8.323 -4.194 0.000
8.323 4.194 0.000
-0.139 0.000 4.737
Tm Cd Co
8 3 2
Direct
0.043 0.609 0.287 Tm
0.078 0.078 0.233 Tm
0.337 0.337 0.813 Tm
0.391 0.957 0.713 Tm
0.609 0.043 0.287 Tm
0.663 0.663 0.187 Tm
0.922 0.922 0.767 Tm
0.957 0.391 0.713 Tm
0.302 0.698 0.000 Cd
0.500 0.500 0.500 Cd
0.698 0.302 0.000 Cd
0.240 0.240 0.325 Co
0.760 0.760 0.675 Co
```

- M_tot: 0.000 μB per cell
- DFT total energy: -4.1340 eV/atom